Entry 1:
! DyYBeGa (PBE, optimized geometry); values from VASP
! **Total magnetization**: 0.000 μB/f.u.
! **Calculated formation energy**: -24.2 kJ per mole of atoms
&SYSTEM
  ibrav = 0, nat = 4, ntyp = 4
/
ATOMIC_SPECIES
Be 9.01 Be.upf
Ga 69.72 Ga.upf
Y 88.91 Y.upf
Dy 162.50 Dy.upf
CELL_PARAMETERS angstrom
-0.387 4.932 0.155
-4.133 2.209 -1.592
-3.067 2.141 3.241
ATOMIC_POSITIONS angstrom
Be -3.794 4.641 0.902
Ga 0.000 0.000 0.000
Y -5.690 6.961 1.353
Dy -1.897 2.320 0.451



Entry 2:
! GdDyBe2 (PBE, optimized geometry); values from VASP
! **Total magnetization**: 7.775 μB/f.u.
! **Calculated formation energy**: 11.0 kJ per mole of atoms
&SYSTEM
  ibrav = 0, nat = 4, ntyp = 3
/
ATOMIC_SPECIES
Gd 157.25 Gd.upf
Be 9.01 Be.upf
Dy 162.50 Dy.upf
CELL_PARAMETERS angstrom
4.840 0.000 0.000
2.420 4.192 0.000
2.420 1.397 3.952
ATOMIC_POSITIONS angstrom
Gd 0.000 0.000 0.000
Be 2.420 1.397 0.988
Dy 4.840 2.795 1.976
Be 7.261 4.192 2.964



Entry 3:
! GdDyBe2 (PBE, optimized geometry); values from VASP
! **Total magnetization**: 7.692 μB/f.u.
! **Calculated formation energy**: 10.7 kJ per mole of atoms
&SYSTEM
  ibrav = 0, nat = 4, ntyp = 3
/
ATOMIC_SPECIES
Dy 162.50 Dy.upf
Be 9.01 Be.upf
Gd 157.25 Gd.upf
CELL_PARAMETERS angstrom
3.428 0.000 0.000
0.000 4.835 0.000
0.000 0.000 4.835
ATOMIC_POSITIONS angstrom
Dy 1.714 2.417 2.417
Be 0.000 0.000 2.417
Be 0.000 2.417 0.000
Gd 1.714 0.000 0.000



Entry 4:
! GdDyMgBe (PBE, optimized geometry); values from VASP
! **Total magnetization**: 7.714 μB/f.u.
! **Calculated formation energy**: 8.7 kJ per mole of atoms
&SYSTEM
  ibrav = 0, nat = 4, ntyp = 4
/
ATOMIC_SPECIES
Be 9.01 Be.upf
Gd 157.25 Gd.upf
Dy 162.50 Dy.upf
Mg 24.30 Mg.upf
CELL_PARAMETERS angstrom
-3.401 3.806 0.291
-2.766 1.276 -4.106
-5.006 -1.030 -0.131
ATOMIC_POSITIONS angstrom
Be 0.000 0.000 0.000
Gd -8.380 3.039 -2.960
Dy -2.793 1.013 -0.987
Mg -5.587 2.026 -1.973



Entry 5:
! GdDyBeRh (PBE, optimized geometry); values from VASP
! **Total magnetization**: 7.058 μB/f.u.
! **Calculated formation energy**: -33.4 kJ per mole of atoms
&SYSTEM
  ibrav = 0, nat = 4, ntyp = 4
/
ATOMIC_SPECIES
Dy 162.50 Dy.upf
Be 9.01 Be.upf
Gd 157.25 Gd.upf
Rh 102.91 Rh.upf
CELL_PARAMETERS angstrom
4.871 0.000 0.000
2.436 4.219 0.000
2.436 1.406 3.977
ATOMIC_POSITIONS angstrom
Dy 0.000 0.000 0.000
Be 2.436 1.406 0.994
Gd 4.871 2.812 1.989
Rh 7.307 4.219 2.983



Entry 6:
! GdDyBeRu (PBE, optimized geometry); values from VASP
! **Total magnetization**: 6.969 μB/f.u.
! **Calculated formation energy**: -11.0 kJ per mole of atoms
&SYSTEM
  ibrav = 0, nat = 4, ntyp = 4
/
ATOMIC_SPECIES
Ru 101.07 Ru.upf
Gd 157.25 Gd.upf
Be 9.01 Be.upf
Dy 162.50 Dy.upf
CELL_PARAMETERS angstrom
4.850 0.000 0.000
2.425 4.200 0.000
2.425 1.400 3.960
ATOMIC_POSITIONS angstrom
Ru 7.275 4.200 2.970
Gd 0.000 0.000 0.000
Be 2.425 1.400 0.990
Dy 4.850 2.800 1.980



Entry 7:
! DyBe3Ge3 (PBE, optimized geometry); values from VASP
! **Total magnetization**: 0.000 μB/f.u.
! **Calculated formation energy**: 17.3 kJ per mole of atoms
&SYSTEM
  ibrav = 0, nat = 14, ntyp = 3
/
ATOMIC_SPECIES
Ge 72.64 Ge.upf
Be 9.01 Be.upf
Dy 162.50 Dy.upf
CELL_PARAMETERS angstrom
-1.401 3.136 -5.220
-0.457 -5.395 -3.119
-6.072 -0.317 1.439
ATOMIC_POSITIONS angstrom
Ge -1.747 -2.777 -1.200
Ge -0.815 0.219 -3.390
Ge -4.783 -2.936 -0.480
Be -1.279 -0.346 -5.474
Ge -1.043 -2.479 -4.949
Be -5.255 1.330 -1.531
Be -2.219 1.489 -2.250
Dy -3.965 -1.289 -3.450
Be -0.579 -1.914 -2.864
Ge -4.087 2.193 -3.196
Be -3.379 -4.205 -1.619
Dy 0.000 0.000 0.000
Ge -3.386 0.625 -0.586
Be -3.150 -1.508 -0.060



Entry 8:
! Dy3Be2Ge4 (PBE, optimized geometry); values from VASP
! **Total magnetization**: 0.000 μB/f.u.
! **Calculated formation energy**: -63.8 kJ per mole of atoms
&SYSTEM
  ibrav = 0, nat = 9, ntyp = 3
/
ATOMIC_SPECIES
Ge 72.64 Ge.upf
Dy 162.50 Dy.upf
Be 9.01 Be.upf
CELL_PARAMETERS angstrom
-3.236 1.620 1.652
-1.489 -3.605 -4.171
0.508 -5.178 6.076
ATOMIC_POSITIONS angstrom
Ge -1.319 -6.437 3.731
Ge -4.011 -4.829 1.671
Dy -2.295 -3.554 3.782
Ge -0.206 -2.334 1.885
Ge -2.898 -0.726 -0.175
Be -2.071 -5.906 1.736
Dy -1.923 -3.609 -0.226
Be -2.146 -1.257 1.820
Dy 0.000 0.000 0.000



| no. | calculated total energy (eV/atom) | calculated volume (Å³ per cell) |
| --- | --- | --- |
| 1 | -4.71 | 86 |
| 2 | -6.42 | 80 |
| 3 | -6.42 | 80 |
| 4 | -5.91 | 94 |
| 5 | -7.79 | 82 |
| 6 | -8.04 | 81 |
| 7 | -4.05 | 244 |
| 8 | -5.08 | 168 |